Ni2MoRhO6: optimized geometry, PBE+U.

Output
Uncorrected energy = -5.675 eV/atom

POSCAR file:
```
Ni2MoRhO6
1.0
-3.429 0.031 -2.008
-2.843 -1.248 4.836
-0.592 5.609 1.099
Ni Mo Rh O
2 1 1 6
Cartesian
-4.303 -0.597 0.731
-3.178 2.831 -1.138
-2.205 0.020 -1.291
-4.144 2.203 1.547
-3.416 1.093 -0.052
-3.718 3.952 0.508
-2.455 2.188 2.536
-0.678 0.006 -0.397
-5.167 3.316 2.973
-4.865 0.457 2.413
```